Entry from Alexandria via LeMat-Bulk: Pm12Ru6C after structural relaxation (PBE).

Computed properties:
Energy relative to the elements: -0.09 eV/atom
DOS at the Fermi energy: 14.40 states/eV/f.u.

Unit cell a=8.1677 b=8.1677 c=8.1677 alpha=99.59 beta=99.59 gamma=99.59
Fractional positions:
Pm 0.0479 0.9258 0.6898
Pm 0.0742 0.3102 0.9521
Pm 0.1779 0.5755 0.4191
Pm 0.3102 0.9521 0.0742
Pm 0.4191 0.1779 0.5755
Pm 0.4245 0.5809 0.8221
Pm 0.5755 0.4191 0.1779
Pm 0.5809 0.8221 0.4245
Pm 0.6898 0.0479 0.9258
Pm 0.8221 0.4245 0.5809
Pm 0.9258 0.6898 0.0479
Pm 0.9521 0.0742 0.3102
Ru 0.1332 0.2956 0.6154
Ru 0.2956 0.6154 0.1332
Ru 0.3846 0.8668 0.7044
Ru 0.6154 0.1332 0.2956
Ru 0.7044 0.3846 0.8668
Ru 0.8668 0.7044 0.3846
C 0.0000 0.0000 0.0000

***

Entry from Alexandria via LeMat-Bulk: Dy6YEr2Th after structural relaxation (PBE).

Computed properties:
Energy relative to the elements: 0.15 eV/atom
DOS at the Fermi energy: 14.71 states/eV/f.u.

Unit cell a=8.7654 b=8.7654 c=9.3430 alpha=92.83 beta=92.83 gamma=116.47
Fractional positions:
Dy 0.0137 0.5675 0.1832
Dy 0.1171 0.7653 0.5593
Dy 0.2347 0.8829 0.9407
Dy 0.2902 0.5187 0.3868
Dy 0.4325 0.9863 0.3168
Dy 0.4813 0.7098 0.1132
Dy 0.5187 0.2902 0.8868
Dy 0.5675 0.0137 0.6832
Dy 0.7098 0.4813 0.6132
Dy 0.7653 0.1171 0.0593
Dy 0.8829 0.2347 0.4407
Dy 0.9863 0.4325 0.8168
Y 0.4103 0.5897 0.7500
Y 0.5897 0.4103 0.2500
Er 0.2017 0.3031 0.0534
Er 0.3031 0.2017 0.5534
Er 0.6969 0.7983 0.4466
Er 0.7983 0.6969 0.9466
Th 0.0346 0.9654 0.2500
Th 0.9654 0.0346 0.7500

***

Entry from Alexandria via LeMat-Bulk: TbPmInN3 after structural relaxation (PBE).

Computed properties:
Raw formation energy: -0.895 eV per atom
DOS at the Fermi energy: 0.01 states/eV/f.u.

Unit cell a=5.9513 b=3.4475 c=8.8551 alpha=90.00 beta=99.43 gamma=90.00
Fractional positions:
Tb 0.2378 0.2500 0.4501
Tb 0.7622 0.7500 0.5499
Pm 0.3391 0.7500 0.8071
Pm 0.6609 0.2500 0.1929
In 0.1508 0.7500 0.1415
In 0.8492 0.2500 0.8585
N 0.0418 0.2500 0.6628
N 0.2533 0.2500 0.0105
N 0.4617 0.7500 0.3376
N 0.5383 0.2500 0.6624
N 0.7467 0.7500 0.9895
N 0.9582 0.7500 0.3372

***

Entry from Alexandria via LeMat-Bulk: BaBi2Pt after structural relaxation (PBE).

Computed properties:
Energy relative to the elements: -0.64 eV/atom
DOS at the Fermi energy: 0.68 states/eV/f.u.

Unit cell a=5.5347 b=5.5347 c=4.4733 alpha=90.00 beta=90.00 gamma=109.81
Fractional positions:
Ba 0.0000 0.0000 0.0000
Bi 0.3124 0.6876 0.5000
Bi 0.6876 0.3124 0.5000
Pt 0.5000 0.5000 0.0000

***

Entry from Alexandria via LeMat-Bulk: BaSrLa2Os after structural relaxation (PBE).

Computed properties:
Offset from the most stable computed form: 33 meV/atom
Energy relative to the elements: 0.06 eV/atom
DOS at the Fermi energy: 5.40 states/eV/f.u.

Unit cell a=5.6777 b=5.6777 c=6.4340 alpha=90.00 beta=90.00 gamma=90.00
Fractional positions:
Ba 0.0000 0.0000 0.0000
Sr 0.5000 0.5000 0.0000
La 0.0000 0.5000 0.5000
La 0.5000 0.0000 0.5000
Os 0.0000 0.0000 0.5000

***

Entry from Alexandria via LeMat-Bulk: ZrTaAu2O after structural relaxation (PBE).

Computed properties:
Raw formation energy: 1.797 eV per atom
DOS at the Fermi energy: 8.27 states/eV/f.u.

Unit cell a=5.1378 b=5.1378 c=5.0473 alpha=90.00 beta=90.00 gamma=90.00
Fractional positions:
Zr 0.0000 0.0000 0.0000
Ta 0.0000 0.0000 0.5000
Au 0.0000 0.5000 0.0000
Au 0.5000 0.0000 0.0000
O 0.5000 0.5000 0.5000

***

What did the fourth record say?
Entry from Alexandria via LeMat-Bulk: BaBi2Pt after structural relaxation (PBE).

Computed properties:
Energy relative to the elements: -0.64 eV/atom
DOS at the Fermi energy: 0.68 states/eV/f.u.

Unit cell a=5.5347 b=5.5347 c=4.4733 alpha=90.00 beta=90.00 gamma=109.81
Fractional positions:
Ba 0.0000 0.0000 0.0000
Bi 0.3124 0.6876 0.5000
Bi 0.6876 0.3124 0.5000
Pt 0.5000 0.5000 0.0000